{"formula": "K3Au5", "functional": "GGA-PBE", "state": "optimized geometry", "lattice_angstrom": [[10.506, 0.000, 0.000], [-5.253, 9.098, 0.000], [0.000, 0.000, 5.144]], "species": ["K", "K", "K", "K", "K", "K", "Au", "Au", "Au", "Au", "Au", "Au", "Au", "Au", "Au", "Au"], "frac_coords": [[0.000, 0.367, 0.250], [0.000, 0.633, 0.750], [0.367, 0.000, 0.250], [0.367, 0.367, 0.750], [0.633, 0.000, 0.750], [0.633, 0.633, 0.250], [0.000, 0.157, 0.750], [0.000, 0.843, 0.250], [0.157, 0.000, 0.750], [0.157, 0.157, 0.250], [0.333, 0.667, 0.000], [0.333, 0.667, 0.500], [0.667, 0.333, 0.000], [0.667, 0.333, 0.500], [0.843, 0.000, 0.250], [0.843, 0.843, 0.750]], "energy_ev_per_atom": -2.5973, "m_tot_mub_per_atom": 0.000}

***

{"formula": "VNi2Au", "functional": "GGA-PBE", "state": "optimized geometry", "lattice_angstrom": [[3.078, 0.000, 0.000], [0.000, 3.078, 0.000], [0.000, 0.000, 5.617]], "species": ["V", "Ni", "Ni", "Au"], "frac_coords": [[0.000, 0.000, 0.000], [0.500, 0.500, 0.219], [0.500, 0.500, 0.781], [0.000, 0.000, 0.500]], "e_above_lowest_polymorph_mev_per_atom": 0, "m_tot_mub_per_atom": 0.200}

***

{"formula": "PmThAs2", "functional": "GGA-PBE", "state": "optimized geometry", "lattice_angstrom": [[0.000, 3.649, 3.649], [3.649, 0.000, 3.649], [3.649, 3.649, 0.000]], "species": ["Pm", "Th", "As", "As"], "frac_coords": [[0.000, 0.000, 0.000], [0.500, 0.500, 0.500], [0.250, 0.250, 0.250], [0.750, 0.750, 0.750]], "e_above_lowest_polymorph_mev_per_atom": 379, "m_tot_mub_per_atom": 0.000}

***

{"formula": "BaAg2BiF6", "functional": "GGA-PBE", "state": "optimized geometry", "lattice_angstrom": [[6.311, 0.000, 0.000], [0.000, 6.874, 0.000], [-5.453, 0.000, 8.854]], "species": ["Ba", "Ba", "Ag", "Ag", "Ag", "Ag", "Bi", "Bi", "F", "F", "F", "F", "F", "F", "F", "F", "F", "F", "F", "F"], "frac_coords": [[0.000, 0.000, 0.000], [0.000, 0.500, 0.500], [0.358, 0.000, 0.829], [0.358, 0.500, 0.329], [0.642, 0.000, 0.171], [0.642, 0.500, 0.671], [0.500, 0.000, 0.500], [0.500, 0.500, 0.000], [0.114, 0.001, 0.281], [0.114, 0.499, 0.781], [0.329, 0.710, 0.095], [0.329, 0.790, 0.595], [0.330, 0.210, 0.596], [0.330, 0.290, 0.096], [0.670, 0.710, 0.904], [0.670, 0.790, 0.404], [0.671, 0.210, 0.405], [0.671, 0.290, 0.905], [0.886, 0.501, 0.219], [0.886, 0.999, 0.719]], "energy_ev_per_atom": -4.3546, "m_tot_mub_per_atom": 0.000}

***

{"formula": "Zr3HgI", "functional": "GGA-PBE", "state": "optimized geometry", "lattice_angstrom": [[5.242, 0.000, 0.000], [0.000, 5.242, 0.000], [0.000, 0.000, 5.242]], "species": ["Zr", "Zr", "Zr", "Hg", "I"], "frac_coords": [[0.000, 0.000, 0.500], [0.000, 0.500, 0.000], [0.500, 0.000, 0.000], [0.500, 0.500, 0.500], [0.000, 0.000, 0.000]], "e_above_lowest_polymorph_mev_per_atom": 0, "m_tot_mub_per_atom": 0.000}

***

{"formula": "KTeMo3", "functional": "GGA-PBE", "state": "optimized geometry", "lattice_angstrom": [[4.669, 0.000, 0.000], [0.000, 4.669, 0.000], [0.000, 0.000, 4.669]], "species": ["K", "Te", "Mo", "Mo", "Mo"], "frac_coords": [[0.000, 0.000, 0.000], [0.500, 0.500, 0.500], [0.000, 0.000, 0.500], [0.000, 0.500, 0.000], [0.500, 0.000, 0.000]], "e_above_lowest_polymorph_mev_per_atom": 1099, "m_tot_mub_per_atom": 0.650}